1.
A plane-wave DFT calculation with PBE was carried out for crystalline Gd2ThPt at its relaxed geometry.

Cell lengths 7.431, 7.431, 7.431 Å; angles 90.00, 90.00, 90.00 degrees
Space group Fm-3m (No. 225)
Asymmetric unit:
Gd (0.250, 0.250, 0.250) [8 per cell]
Th (0.000, 0.000, 0.000) [4 per cell]
Pt (0.000, 0.000, 0.500) [4 per cell]

Results
- theoretical density (g cm⁻³) = 12.006
- energy relative to the lowest polymorph listed for this composition (eV/atom) = 0.386
- formation enthalpy at 0 K (meV/atom) = -170

=====

2.
A plane-wave DFT calculation with PBE was carried out for crystalline Pm2Pd2Au at its relaxed geometry.

Cell lengths 7.705, 7.705, 3.833 Å; angles 90.00, 90.00, 90.00 degrees
Space group P4/mbm (No. 127)
Asymmetric unit:
Pm (0.176, 0.324, 0.000) [4 per cell]
Pd (0.128, 0.628, 0.500) [4 per cell]
Au (0.000, 0.000, 0.500) [2 per cell]

Results
- theoretical density (g cm⁻³) = 10.213
- formation enthalpy at 0 K (meV/atom) = -826

=====

3.
A plane-wave DFT calculation with PBE was carried out for crystalline VSiSeN2 at its relaxed geometry.

Cell lengths 3.488, 3.488, 6.090 Å; angles 90.00, 90.00, 90.00 degrees
Space group P4/mmm (No. 123)
Asymmetric unit:
V (0.000, 0.000, 0.000) [1 per cell]
Si (0.500, 0.500, 0.500) [1 per cell]
Se (0.500, 0.500, 0.000) [1 per cell]
N (0.000, 0.500, 0.500) [2 per cell]

Results
- theoretical density (g cm⁻³) = 4.169
- energy relative to the lowest polymorph listed for this composition (eV/atom) = 0.005
- formation energy (no corrections) (meV/atom) = 449

=====

4.
A plane-wave DFT calculation with PBE was carried out for crystalline Li2Be2Sn at its relaxed geometry.

Cell lengths 6.370, 6.370, 3.692 Å; angles 90.00, 90.00, 90.00 degrees
Space group P4/mbm (No. 127)
Asymmetric unit:
Li (0.165, 0.335, 0.000) [4 per cell]
Be (0.118, 0.618, 0.500) [4 per cell]
Sn (0.000, 0.000, 0.500) [2 per cell]

Results
- theoretical density (g cm⁻³) = 3.339
- formation enthalpy at 0 K (meV/atom) = 130

=====

5.
A plane-wave DFT calculation with PBE was carried out for crystalline ScGaBr at its relaxed geometry.

Cell lengths 3.9446, 3.9446, 11.2999 Å; angles 90.00, 90.00, 120.00 degrees
Space group P3m1 (No. 156)
Asymmetric unit:
Sc (0.0000, 0.0000, 0.0000) [1 per cell]
Sc (0.3333, 0.6667, 0.6161) [1 per cell]
Ga (0.3333, 0.6667, 0.8625) [1 per cell]
Ga (0.6667, 0.3333, 0.7729) [1 per cell]
Br (0.0000, 0.0000, 0.4738) [1 per cell]
Br (0.6667, 0.3333, 0.1476) [1 per cell]

Results
- theoretical density (g cm⁻³) = 4.244
- formation energy (no corrections) (meV/atom) = -995

=====

6.
A plane-wave DFT calculation with PBE was carried out for crystalline HoScSb2 at its relaxed geometry.

Cell lengths 4.2465, 4.2465, 21.6445 Å; angles 90.00, 90.00, 120.00 degrees
Space group R3m (No. 160, hexagonal axes)
Asymmetric unit:
Ho (0.0000, 0.0000, 0.0000) [3 per cell]
Sc (0.0000, 0.0000, 0.8297) [3 per cell]
Sb (0.0000, 0.0000, 0.4172) [3 per cell]
Sb (0.0000, 0.0000, 0.5789) [3 per cell]

Results
- theoretical density (g cm⁻³) = 6.682
- energy relative to the lowest polymorph listed for this composition (eV/atom) = 0.107
- formation energy (no corrections) (meV/atom) = -913

=====

7.
A plane-wave DFT calculation with PBE was carried out for crystalline ErAlZnAg6 at its relaxed geometry.

Cell lengths 7.366, 9.013, 10.948 Å; angles 90.00, 90.00, 90.00 degrees
Space group Imma (No. 74)
Asymmetric unit:
Er (0.000, 0.250, 0.205) [4 per cell]
Al (0.250, 0.250, 0.750) [4 per cell]
Zn (0.000, 0.000, 0.000) [4 per cell]
Ag (0.000, 0.250, 0.513) [4 per cell]
Ag (0.000, 0.250, 0.909) [4 per cell]
Ag (0.192, 0.014, 0.371) [16 per cell]

Results
- theoretical density (g cm⁻³) = 8.287
- formation enthalpy at 0 K (meV/atom) = 50

=====

8.
A plane-wave DFT calculation with PBE was carried out for crystalline MgAg2BiF6 at its relaxed geometry.

Cell lengths 5.622, 6.671, 8.900 Å; angles 90.00, 116.28, 90.00 degrees
Space group P2_1/c (No. 14)
Asymmetric unit:
Mg (0.000, 0.000, 0.000) [2 per cell]
Ag (0.324, 0.044, 0.759) [4 per cell]
Bi (0.500, 0.000, 0.500) [2 per cell]
F (0.105, 0.030, 0.250) [4 per cell]
F (0.239, 0.740, 0.541) [4 per cell]
F (0.310, 0.170, 0.018) [4 per cell]

Results
- theoretical density (g cm⁻³) = 6.246
- formation energy (no corrections) (meV/atom) = -2016

=====

9.
A plane-wave DFT calculation with PBE was carried out for crystalline GdAg2Au at its relaxed geometry.

Cell lengths 4.243, 4.243, 4.788 Å; angles 90.00, 90.00, 90.00 degrees
Space group P4/mmm (No. 123)
Asymmetric unit:
Gd (0.000, 0.000, 0.000) [1 per cell]
Ag (0.000, 0.500, 0.500) [2 per cell]
Au (0.500, 0.500, 0.000) [1 per cell]

Results
- theoretical density (g cm⁻³) = 10.976
- energy relative to the lowest polymorph listed for this composition (eV/atom) = 0.046
- formation enthalpy at 0 K (meV/atom) = -270

=====

10.
A plane-wave DFT calculation with PBE was carried out for crystalline TaPd4Au5 at its relaxed geometry.

Cell lengths 14.374, 4.027, 7.184 Å; angles 90.00, 119.96, 90.00 degrees
Space group C2/m (No. 12)
Asymmetric unit:
Ta (0.000, 0.000, 0.000) [2 per cell]
Pd (0.019, 0.500, 0.255) [4 per cell]
Pd (0.173, 0.000, 0.408) [4 per cell]
Au (0.000, 0.000, 0.500) [2 per cell]
Au (0.167, 0.500, 0.710) [4 per cell]
Au (0.173, 0.500, 0.116) [4 per cell]

Results
- theoretical density (g cm⁻³) = 14.670
- formation enthalpy at 0 K (meV/atom) = -50

=====

11.
A plane-wave DFT calculation with PBE was carried out for crystalline RePtRh4 at its relaxed geometry.

Cell lengths 2.726, 3.886, 8.202 Å; angles 90.00, 90.00, 90.00 degrees
Space group Pmmm (No. 47)
Asymmetric unit:
Re (0.000, 0.000, 0.000) [1 per cell]
Pt (0.500, 0.500, 0.500) [1 per cell]
Rh (0.000, 0.000, 0.328) [2 per cell]
Rh (0.500, 0.500, 0.160) [2 per cell]

Results
- theoretical density (g cm⁻³) = 15.155
- energy relative to the lowest polymorph listed for this composition (eV/atom) = 0.000
- formation enthalpy at 0 K (meV/atom) = -85

=====

12.
A plane-wave DFT calculation with PBE was carried out for crystalline AcCuNiP2 at its relaxed geometry.

Cell lengths 3.981, 3.981, 11.145 Å; angles 90.00, 90.00, 90.00 degrees
Space group I-4m2 (No. 119)
Asymmetric unit:
Ac (0.000, 0.000, 0.000) [2 per cell]
Cu (0.000, 0.500, 0.750) [2 per cell]
Ni (0.000, 0.500, 0.250) [2 per cell]
P (0.000, 0.000, 0.357) [4 per cell]

Results
- theoretical density (g cm⁻³) = 7.732
- formation enthalpy at 0 K (meV/atom) = -792